[1]
A relaxed DyGa3Ag2 crystal, computed with PBE.

```
DyGa3Ag2
1.0
-2.930 -1.366 3.079
0.035 -6.786 -6.214
4.847 0.109 4.660
Dy Ga Ag
2 6 4
Cartesian
2.067 -6.376 2.375
-0.115 -1.667 -0.849
1.686 -4.364 -0.332
-0.142 -7.067 -0.033
1.803 -2.503 3.841
0.149 -5.539 -2.316
2.093 -0.976 1.559
0.265 -3.679 1.857
2.386 -6.945 -0.811
-0.434 -1.098 2.337
-1.372 -4.576 -0.099
3.323 -3.466 1.624
```

Values from the calculation:
SG: C2/m, No. 12
Electronic total energy in eV per atom: -3.50
Total magnetic moment in μB/cell: 0.000

***

[2]
A relaxed SrReIr crystal, computed with PBE.

```
SrReIr
1.0
-2.271 -1.940 -4.966
1.648 -3.281 2.530
-3.820 -1.941 3.901
Sr Ir Re
2 2 2
Cartesian
-1.092 -2.728 1.053
-2.355 -5.698 1.954
-1.371 -2.431 -2.309
-1.757 -3.626 4.251
-1.545 -4.858 -1.413
-3.760 -2.586 2.975
```

Values from the calculation:
SG: Imm2, No. 44
Electronic total energy in eV per atom: -7.51
Total magnetic moment in μB/cell: 0.000

***

[3]
A relaxed Cd2Sb2O7 crystal, computed with PBE.

```
Cd2Sb2O7
1.0
7.375 -0.001 0.001
-0.093 7.375 -0.001
-3.559 -3.768 5.247
Cd Sb O
4 4 14
Cartesian
-1.779 -1.884 2.623
-0.047 3.687 0.000
0.000 0.000 0.000
3.641 3.687 0.000
3.688 0.000 0.000
1.862 1.803 2.623
1.908 -1.884 2.624
-1.826 1.803 2.623
0.533 -2.239 4.043
1.766 -0.031 3.383
0.028 1.685 1.863
5.211 0.423 1.205
3.190 5.845 1.204
1.957 3.637 1.863
3.695 1.921 3.383
-1.488 3.183 4.042
1.321 2.336 4.448
2.402 1.269 0.799
0.206 5.663 1.384
3.517 -2.057 3.863
5.356 3.409 1.385
-1.633 0.197 3.862
```

Values from the calculation:
SG: Imma, No. 74
Electronic total energy in eV per atom: -5.41
Total magnetic moment in μB/cell: 0.000
Uncorrected formation energy in eV/atom: -1.339

***

[4]
A relaxed AgP2Se2 crystal, computed with PBE.

```
AgP2Se2
1.0
7.786 0.000 0.000
0.000 7.786 0.000
0.000 0.000 3.547
P Se Ag
4 4 2
Cartesian
2.216 6.109 0.000
6.109 5.570 0.000
5.570 1.677 0.000
1.677 2.216 0.000
1.131 5.024 1.773
5.024 6.655 1.773
6.655 2.762 1.773
2.762 1.131 1.773
0.000 0.000 0.000
3.893 3.893 0.000
```

Values from the calculation:
SG: P4/mbm, No. 127
Electronic total energy in eV per atom: -3.84
Total magnetic moment in μB/cell: 0.000
Uncorrected formation energy in eV/atom: 0.292

***

[5]
A relaxed AcPrAg2S4 crystal, computed with PBE.

```
AcPrAg2S4
1.0
-0.266 -4.302 5.415
3.818 -5.129 0.536
4.079 0.395 4.938
Ac Pr Ag S
1 1 2 4
Cartesian
0.000 0.000 0.000
3.816 -4.518 5.444
2.513 -2.291 2.726
5.118 -6.745 8.162
2.431 -2.123 5.197
5.326 -4.888 3.143
2.182 -6.754 5.670
5.324 -4.308 7.768
```

Values from the calculation:
SG: I222, No. 23
Electronic total energy in eV per atom: -5.11
Total magnetic moment in μB/cell: 0.000
Uncorrected formation energy in eV/atom: -1.223

***

[6]
A relaxed AlCdRu2 crystal, computed with PBE.

```
AlCdRu2
1.0
0.000 3.128 3.128
3.128 0.000 3.128
3.128 3.128 0.000
Ru Al Cd
2 1 1
Cartesian
1.564 1.564 1.564
4.693 4.693 4.693
0.000 0.000 0.000
3.128 3.128 3.128
```

Values from the calculation:
SG: Fm-3m, No. 225
Electronic total energy in eV per atom: -5.76
Total magnetic moment in μB/cell: 0.674

***

[7]
A relaxed ZrPaAs crystal, computed with PBE.

```
ZrPaAs
1.0
-1.769 -2.306 -1.972
-1.438 -1.373 2.895
-2.514 5.331 -0.850
As Pa Zr
1 1 1
Cartesian
-2.801 -0.824 0.349
-2.679 2.272 -0.253
-0.240 0.204 -0.023
```

Values from the calculation:
SG: I4mm, No. 107
Electronic total energy in eV per atom: -8.05
Total magnetic moment in μB/cell: 0.001

***

[8]
A relaxed Re4Os5 crystal, computed with PBE.

```
Re4Os5
1.0
-4.122 4.122 1.937
4.122 -4.122 1.937
4.122 4.122 -1.937
Re Os
4 5
Cartesian
0.000 2.733 0.000
0.000 5.510 0.000
5.510 0.000 0.000
2.733 0.000 0.000
0.000 0.000 0.000
1.371 -1.371 1.937
1.371 1.371 1.937
2.751 2.751 0.000
-1.371 1.371 1.937
```

Values from the calculation:
SG: I4/mmm, No. 139
Electronic total energy in eV per atom: -11.70
Total magnetic moment in μB/cell: 0.000

***

[9]
A relaxed Pm8In2Tc crystal, computed with PBE.

```
Pm8In2Tc
1.0
5.452 0.000 -1.659
-1.053 6.092 -3.460
-0.163 1.107 9.252
Pm In Tc
8 2 1
Cartesian
2.459 5.526 -1.708
1.279 4.559 4.201
0.791 1.614 2.600
-0.259 1.499 -0.851
3.445 5.585 1.533
2.958 2.640 -0.068
1.778 1.673 5.841
4.496 5.700 4.984
0.232 4.593 0.763
4.004 2.606 3.370
2.726 0.000 -0.830
```

Values from the calculation:
SG: Immm, No. 71
Electronic total energy in eV per atom: -5.07
Total magnetic moment in μB/cell: 0.000

***

[10]
A relaxed ErSiH crystal, computed with PBE.

```
ErSiH
1.0
-0.117 -0.246 -3.421
2.706 -2.241 0.068
-4.903 -5.848 2.309
H Si Er
2 2 2
Cartesian
-2.363 -7.020 -1.136
0.049 -1.316 0.093
-1.869 -3.676 -1.393
-0.445 -4.659 0.350
-3.292 -5.336 0.496
0.978 -2.999 -1.539
```

Values from the calculation:
SG: Cmcm, No. 63
Electronic total energy in eV per atom: -4.71
Total magnetic moment in μB/cell: 0.000

***

[11]
A relaxed BaDy4Tl5 crystal, computed with PBE.

```
BaDy4Tl5
1.0
-3.130 1.179 1.930
-2.108 -0.326 -3.219
-4.178 -18.666 4.627
Ba Dy Tl
1 4 5
Cartesian
0.000 0.000 0.000
-0.906 -4.048 1.003
-1.696 -7.578 1.878
-2.482 -11.087 2.748
-3.272 -14.618 3.623
-3.143 -1.917 -0.064
-3.925 -5.407 0.801
-4.708 -8.906 1.669
-5.491 -12.406 2.536
-6.273 -15.896 3.401
```

Values from the calculation:
SG: P4/mmm, No. 123
Electronic total energy in eV per atom: -3.56
Total magnetic moment in μB/cell: 0.000

***

[12]
A relaxed LiTe crystal, computed with PBE.

```
LiTe
1.0
3.244 0.029 0.016
1.089 3.532 -0.012
1.319 0.859 4.090
Li Te
1 1
Cartesian
0.000 0.000 0.000
2.826 2.210 2.047
```

Values from the calculation:
SG: P-1, No. 2
Electronic total energy in eV per atom: -3.19
Total magnetic moment in μB/cell: 0.000
Uncorrected formation energy in eV/atom: -0.663

***

[13]
A relaxed Li2MgPd5 crystal, computed with PBE.

```
Li2MgPd5
1.0
-2.387 -4.875 -2.891
4.983 -3.296 1.458
-2.673 3.167 3.380
Li Mg Pd
2 1 5
Cartesian
1.880 -2.057 1.914
-1.806 -2.846 -0.260
-0.603 -0.405 1.169
-3.134 -1.261 1.432
-1.944 1.167 2.871
-0.652 -2.903 2.159
0.537 -0.474 3.598
0.682 -4.497 0.477
```

Values from the calculation:
SG: Cm, No. 8
Electronic total energy in eV per atom: -4.37
Total magnetic moment in μB/cell: 0.000

***

[14]
A relaxed PrEr3Rh crystal, computed with PBE.

```
PrEr3Rh
1.0
-4.255 -2.696 -5.304
6.447 -1.443 -4.439
-1.718 -8.242 5.567
Pr Er Rh
4 12 4
Cartesian
-0.131 -5.698 -6.668
0.605 -6.683 2.493
-0.311 -3.686 -2.502
0.785 -8.695 -1.673
-0.650 -3.716 1.121
1.124 -8.665 -5.297
3.023 -3.885 -6.785
-2.549 -8.496 2.609
2.347 -5.604 -3.991
-1.873 -6.777 -0.185
-3.067 -3.957 -5.528
3.541 -8.424 1.352
1.891 -5.755 -0.683
-1.417 -6.626 -3.493
-1.911 -10.517 -0.256
2.385 -1.864 -3.920
3.914 -7.005 -2.168
-3.440 -5.376 -2.008
-4.354 -9.532 0.706
4.828 -2.849 -4.882
```

Values from the calculation:
SG: P2_1/c, No. 14
Electronic total energy in eV per atom: -5.50
Total magnetic moment in μB/cell: 0.000

***

[15]
A relaxed La4CuCCl2 crystal, computed with PBE.

```
La4CuCCl2
1.0
4.011 0.000 0.000
0.000 7.365 -0.288
0.000 2.450 6.831
La Cu C Cl
4 1 1 2
Cartesian
0.000 7.102 4.792
4.011 2.712 1.750
2.005 5.904 1.777
2.005 3.911 4.765
2.005 3.682 -0.144
0.000 4.907 3.271
0.000 2.450 6.831
2.005 1.225 3.415
```

Values from the calculation:
SG: P2/m, No. 10
Electronic total energy in eV per atom: -5.47
Total magnetic moment in μB/cell: 0.000
Uncorrected formation energy in eV/atom: -0.875

***

[16]
A relaxed SiNiPH crystal, computed with PBE.

```
SiNiPH
1.0
-3.267 -1.586 -0.926
0.458 -1.875 1.595
-0.688 3.319 4.099
Si Ni P H
1 1 1 1
Cartesian
-1.372 -1.283 0.852
-3.533 1.735 3.054
-2.839 -0.309 2.417
-0.734 0.584 2.863
```

Values from the calculation:
SG: Pm, No. 6
Electronic total energy in eV per atom: -5.13
Total magnetic moment in μB/cell: 0.000

***

[17]
A relaxed PrZn2GeAu crystal, computed with PBE.

```
PrZn2GeAu
1.0
4.284 0.000 0.000
0.000 4.257 0.000
-2.142 -2.129 5.468
Pr Zn Ge Au
1 2 1 1
Cartesian
0.000 0.000 4.800
2.142 0.000 2.077
0.000 0.000 0.631
2.142 2.129 3.649
0.000 2.129 2.098
```

Values from the calculation:
SG: Imm2, No. 44
Electronic total energy in eV per atom: -3.57
Total magnetic moment in μB/cell: 0.000

***

[18]
A relaxed Cd3Au crystal, computed with PBE.

```
Cd3Au
1.0
-2.311 3.528 -7.120
2.370 -7.928 0.112
-8.248 -2.444 1.466
Au Cd
6 18
Cartesian
-6.953 -0.676 -1.239
-5.415 -4.442 1.138
-6.154 -4.789 -3.603
-1.251 -6.173 -4.300
-2.790 -2.408 -6.677
-2.050 -2.060 -1.936
-2.754 -0.816 0.489
-6.819 -6.439 -5.785
-0.829 -4.595 -2.007
-6.513 -1.998 -3.685
-4.953 -5.817 -1.274
-2.389 -0.776 -4.418
-1.331 0.832 -1.956
0.032 -2.503 0.150
-0.617 -3.315 -4.851
-4.051 -6.845 -4.086
-5.414 -3.510 -6.191
-4.765 -2.698 -1.190
-4.329 0.274 -2.014
-2.599 -3.961 0.659
-3.438 -3.804 -3.800
-6.686 -7.957 -3.025
-8.417 -3.722 -5.699
-7.578 -3.879 -1.240
```

Values from the calculation:
SG: P6_3cm, No. 185
Electronic total energy in eV per atom: -1.64
Total magnetic moment in μB/cell: 0.000

***

[19]
A relaxed LaP2BrCl crystal, computed with PBE.

```
LaP2BrCl
1.0
5.937 0.000 0.000
0.000 5.937 0.000
0.000 0.000 5.429
P Cl Br La
2 1 1 1
Cartesian
0.000 2.968 0.000
2.968 0.000 0.000
0.000 0.000 2.714
2.968 2.968 2.714
0.000 0.000 0.000
```

Values from the calculation:
SG: P4/mmm, No. 123
Electronic total energy in eV per atom: -3.77
Total magnetic moment in μB/cell: 3.808
Uncorrected formation energy in eV/atom: 0.083

***

[20]
A relaxed FeHgAu2 crystal, computed with PBE.

```
FeHgAu2
1.0
-4.452 0.848 -1.992
-0.150 -2.750 -4.113
1.163 -1.335 4.623
Au Fe Hg
2 1 1
Cartesian
0.000 0.000 0.000
-0.644 -2.518 -1.272
-2.301 -0.951 -3.053
-2.795 -0.719 -0.211
```

Values from the calculation:
SG: I-4m2, No. 119
Electronic total energy in eV per atom: -3.58
Total magnetic moment in μB/cell: 3.073